# 1
! PBE-GGA Fe2NiIr, optimized geometry; values from VASP
&SYSTEM
  ibrav = 0, nat = 4, ntyp = 3
/
ATOMIC_SPECIES
Fe 55.84 Fe.upf
Ni 58.69 Ni.upf
Ir 192.22 Ir.upf
CELL_PARAMETERS angstrom
-1.832 1.832 3.679
1.832 -1.832 3.679
1.832 1.832 -3.679
ATOMIC_POSITIONS angstrom
Fe 0.000 0.000 0.000
Fe 0.000 1.832 1.840
Ni 0.000 0.000 3.679
Ir 1.832 0.000 1.840
! Space-group type = No. 119
! Energy = -7.908 eV/atom
! N(E_F) = 5.50 states/eV per cell
! Formation energy from the elements = -0.02 eV/atom

=====

# 2
! PBE-GGA Hf2In2Ir, optimized geometry; values from VASP
&SYSTEM
  ibrav = 0, nat = 10, ntyp = 3
/
ATOMIC_SPECIES
Hf 178.49 Hf.upf
In 114.82 In.upf
Ir 192.22 Ir.upf
CELL_PARAMETERS angstrom
6.952 0.000 0.000
0.000 6.952 0.000
0.000 0.000 4.251
ATOMIC_POSITIONS angstrom
Hf 1.169 2.308 0.000
Hf 2.308 5.784 0.000
Hf 4.645 1.169 0.000
Hf 5.784 4.645 0.000
In 0.971 4.447 2.126
In 2.506 0.971 2.126
In 4.447 5.982 2.126
In 5.982 2.506 2.126
Ir 0.000 0.000 2.126
Ir 3.476 3.476 2.126
! Space-group type = No. 127
! Energy = -6.932 eV/atom
! N(E_F) = 6.18 states/eV per cell
! Formation energy from the elements = -0.08 eV/atom

=====

# 3
! PBE-GGA PdS2N, optimized geometry; values from VASP
&SYSTEM
  ibrav = 0, nat = 4, ntyp = 3
/
ATOMIC_SPECIES
Pd 106.42 Pd.upf
S 32.06 S.upf
N 14.01 N.upf
CELL_PARAMETERS angstrom
1.513 0.874 7.291
-1.513 0.874 7.291
0.000 -1.747 7.291
ATOMIC_POSITIONS angstrom
Pd 0.000 0.000 0.000
S 0.000 0.000 2.282
S 0.000 0.000 19.592
N 0.000 0.000 10.937
! Space-group type = No. 166
! Energy = -4.337 eV/atom
! N(E_F) = 3.20 states/eV per cell
! Uncorrected formation energy = 1.106 eV/atom

=====

# 4
! PBE-GGA ErHfAgHg, optimized geometry; values from VASP
&SYSTEM
  ibrav = 0, nat = 4, ntyp = 4
/
ATOMIC_SPECIES
Er 167.26 Er.upf
Hf 178.49 Hf.upf
Ag 107.87 Ag.upf
Hg 200.59 Hg.upf
CELL_PARAMETERS angstrom
0.000 3.546 3.546
3.546 0.000 3.546
3.546 3.546 0.000
ATOMIC_POSITIONS angstrom
Er 0.000 0.000 0.000
Hf 3.546 3.546 3.546
Ag 5.319 5.319 5.319
Hg 1.773 1.773 1.773
! Space-group type = No. 216
! Energy = -4.537 eV/atom
! N(E_F) = 3.66 states/eV per cell
! Formation energy from the elements = -0.12 eV/atom

=====

# 5
! PBE-GGA MoAs2Cl, optimized geometry; values from VASP
&SYSTEM
  ibrav = 0, nat = 4, ntyp = 3
/
ATOMIC_SPECIES
Mo 95.94 Mo.upf
As 74.92 As.upf
Cl 35.45 Cl.upf
CELL_PARAMETERS angstrom
2.999 -3.769 0.000
2.999 3.769 0.000
-1.023 0.000 3.117
ATOMIC_POSITIONS angstrom
Mo 0.000 0.000 0.000
As 0.988 1.885 1.559
As 0.988 -1.885 1.559
Cl 2.999 0.000 0.000
! Space-group type = No. 12
! Energy = -5.026 eV/atom
! N(E_F) = 3.00 states/eV per cell
! Uncorrected formation energy = 0.468 eV/atom
! Relative energy among the computed polymorphs = 0.609 eV/atom

=====

# 6
! PBE-GGA Cu2SiPt, optimized geometry; values from VASP
&SYSTEM
  ibrav = 0, nat = 4, ntyp = 3
/
ATOMIC_SPECIES
Cu 63.55 Cu.upf
Si 28.09 Si.upf
Pt 195.08 Pt.upf
CELL_PARAMETERS angstrom
-1.726 1.861 4.072
1.726 -1.861 4.072
1.726 1.861 -4.072
ATOMIC_POSITIONS angstrom
Cu 0.000 0.000 1.968
Cu 0.000 0.000 6.176
Si 1.726 0.000 0.000
Pt 0.000 1.861 0.000
! Space-group type = No. 71
! Energy = -5.183 eV/atom
! N(E_F) = 1.01 states/eV per cell
! Uncorrected formation energy = -0.269 eV/atom

=====

> Look up the N(E_F) of the third one.

3.20 states/eV per cell